[1]
Entry from the Alexandria database: a relaxed structure of NpTl2Pb2O6 (PBE).

Cell and atoms, written as POSCAR:
```
NpTl2Pb2O6
1.0
6.243 0.223 0.201
-2.892 5.537 0.201
-1.056 -1.815 6.388
Np Tl Pb O
1 2 2 6
Direct
0.000 0.000 0.500 Np
0.827 0.173 0.000 Tl
0.173 0.827 0.000 Tl
0.331 0.669 0.500 Pb
0.669 0.331 0.500 Pb
0.829 0.829 0.710 O
0.038 0.336 0.662 O
0.171 0.171 0.290 O
0.336 0.038 0.662 O
0.962 0.664 0.338 O
0.664 0.962 0.338 O
```

SG ... C2/m
Electronic total energy ... -6.594 eV/atom
Energy relative to the elements, uncorrected ... -1707 kJ/mol of formula units


[2]
Entry from the Alexandria database: a relaxed structure of Ta2CrRe (PBE).

Cell and atoms, written as POSCAR:
```
Ta2CrRe
1.0
3.156 0.000 0.000
0.000 3.156 0.000
0.000 0.000 6.308
Re Cr Ta
1 1 2
Direct
0.500 0.500 0.750 Re
0.500 0.500 0.250 Cr
0.000 0.000 0.007 Ta
0.000 0.000 0.493 Ta
```

Density of states at the Fermi level ... 3.15 states/eV/f.u.
SG ... P4/mmm
ΔE_f ... -1.0 eV per formula unit
Electronic total energy ... -11.688 eV/atom


[3]
Entry from the Alexandria database: a relaxed structure of FeBiI (PBE).

Cell and atoms, written as POSCAR:
```
FeBiI
1.0
-3.814 0.642 -1.065
-1.089 -6.954 -0.344
-2.213 -2.516 6.258
I Bi Fe
2 2 2
Direct
0.376 0.149 0.274 I
0.877 0.685 0.149 I
0.882 0.141 0.771 Bi
0.881 0.623 0.660 Bi
0.878 0.362 0.049 Fe
0.380 0.350 0.861 Fe
```

Density of states at the Fermi level ... 1.38 states/eV/f.u.
SG ... P1
Electronic total energy ... -4.488 eV/atom
Distance to the lowest polymorph of the same formula ... 2 meV per atom
Energy relative to the elements, uncorrected ... 41 kJ/mol of formula units


[4]
Entry from the Alexandria database: a relaxed structure of BaP2Ir (PBE).

Cell and atoms, written as POSCAR:
```
BaP2Ir
1.0
4.329 0.000 0.000
0.000 4.484 -0.318
0.000 0.819 5.100
Ba Ir P
1 1 2
Direct
0.000 0.461 0.513 Ba
0.500 0.789 0.932 Ir
0.000 0.949 0.986 P
0.500 0.301 0.069 P
```

Density of states at the Fermi level ... 1.80 states/eV/f.u.
SG ... Pm
ΔE_f ... -2.1 eV per formula unit
Electronic total energy ... -5.933 eV/atom


[5]
Entry from the Alexandria database: a relaxed structure of HoSi2Ni2Rh (PBE).

Cell and atoms, written as POSCAR:
```
HoSi2Ni2Rh
1.0
-4.357 0.816 -0.561
-0.682 -4.308 -0.969
-0.844 -1.009 5.081
Ho Si Ni Rh
1 2 2 1
Direct
0.000 0.000 0.500 Ho
0.500 0.000 0.000 Si
0.000 0.500 0.000 Si
0.500 0.500 0.755 Ni
0.500 0.500 0.245 Ni
0.000 0.000 0.000 Rh
```

Density of states at the Fermi level ... 2.07 states/eV/f.u.
SG ... P4/mmm
Electronic total energy ... -5.912 eV/atom
Energy relative to the elements, uncorrected ... -110 kJ/mol of formula units


[6]
Entry from the Alexandria database: a relaxed structure of PuNp3Pa2N6 (PBE).

Cell and atoms, written as POSCAR:
```
PuNp3Pa2N6
1.0
-2.487 3.400 4.278
-3.487 -3.131 -3.753
2.106 -4.504 3.401
Pu Np Pa N
1 3 2 6
Direct
0.000 0.000 0.000 Pu
0.165 0.835 0.500 Np
0.835 0.165 0.500 Np
0.500 0.500 0.500 Np
0.333 0.667 0.000 Pa
0.667 0.333 0.000 Pa
0.915 0.579 0.745 N
0.747 0.747 0.252 N
0.085 0.421 0.255 N
0.579 0.915 0.745 N
0.253 0.253 0.748 N
0.421 0.085 0.255 N
```

Density of states at the Fermi level ... 23.92 states/eV/f.u.
SG ... C2/m
Electronic total energy ... -11.483 eV/atom
Energy relative to the elements, uncorrected ... -1514 kJ/mol of formula units


[7]
Entry from the Alexandria database: a relaxed structure of Ce2NdH (PBE).

Cell and atoms, written as POSCAR:
```
Ce2NdH
1.0
3.258 0.000 0.000
0.000 3.258 0.000
0.000 0.000 8.577
H Nd Ce
1 1 2
Direct
0.500 0.500 0.000 H
0.500 0.500 0.500 Nd
0.000 0.000 0.840 Ce
0.000 0.000 0.160 Ce
```

Density of states at the Fermi level ... 7.88 states/eV/f.u.
SG ... P4/mmm
Electronic total energy ... -4.934 eV/atom
Distance to the lowest polymorph of the same formula ... 36 meV per atom


[8]
Entry from the Alexandria database: a relaxed structure of Li10GeP2Se12 (PBE).

Cell and atoms, written as POSCAR:
```
Li10GeP2Se12
1.0
8.928 0.038 0.089
-0.010 9.503 0.004
-0.030 -0.460 13.770
Li Ge P Se
20 2 4 24
Direct
0.985 0.513 0.958 Li
0.962 0.522 0.422 Li
0.510 0.952 0.534 Li
0.495 0.979 0.052 Li
0.252 0.288 0.145 Li
0.764 0.755 0.273 Li
0.213 0.825 0.762 Li
0.236 0.749 0.250 Li
0.760 0.216 0.355 Li
0.454 0.540 0.751 Li
0.227 0.221 0.354 Li
0.689 0.263 0.892 Li
0.238 0.765 0.014 Li
0.725 0.279 0.145 Li
0.770 0.721 0.685 Li
0.281 0.262 0.875 Li
0.741 0.759 0.012 Li
0.244 0.716 0.482 Li
0.787 0.213 0.645 Li
0.245 0.205 0.635 Li
0.984 0.483 0.187 Ge
0.508 0.989 0.821 Ge
0.997 0.964 0.504 P
0.489 0.526 0.990 P
0.024 0.476 0.684 P
0.489 0.009 0.306 P
0.996 0.182 0.452 Se
0.009 0.793 0.387 Se
0.281 0.548 0.900 Se
0.689 0.547 0.892 Se
0.489 0.696 0.106 Se
0.489 0.307 0.044 Se
0.207 0.935 0.592 Se
0.793 0.946 0.595 Se
0.989 0.295 0.067 Se
0.988 0.710 0.112 Se
0.240 0.486 0.599 Se
0.823 0.484 0.588 Se
0.491 0.794 0.367 Se
0.490 0.177 0.423 Se
0.276 0.990 0.913 Se
0.719 0.993 0.924 Se
0.994 0.658 0.790 Se
0.021 0.273 0.761 Se
0.763 0.469 0.284 Se
0.200 0.473 0.289 Se
0.507 0.209 0.738 Se
0.492 0.802 0.699 Se
0.697 0.023 0.216 Se
0.287 0.029 0.212 Se
```

SG ... P1
Electronic total energy ... -3.883 eV/atom
Distance to the lowest polymorph of the same formula ... 0 meV per atom
Energy relative to the elements, uncorrected ... -1995 kJ/mol of formula units


[9]
Entry from the Alexandria database: a relaxed structure of La2TlSb3Pd4 (PBE).

Cell and atoms, written as POSCAR:
```
La2TlSb3Pd4
1.0
4.557 0.000 0.000
0.000 4.557 0.000
0.000 0.000 11.234
La Tl Sb Pd
2 1 3 4
Direct
0.500 0.000 0.235 La
0.000 0.500 0.765 La
0.500 0.500 0.500 Tl
0.000 0.000 0.500 Sb
0.500 0.000 0.871 Sb
0.000 0.500 0.129 Sb
0.500 0.500 0.000 Pd
0.000 0.000 0.000 Pd
0.500 0.000 0.641 Pd
0.000 0.500 0.359 Pd
```

Density of states at the Fermi level ... 4.80 states/eV/f.u.
SG ... P-4m2
Electronic total energy ... -5.349 eV/atom
Energy relative to the elements, uncorrected ... -784 kJ/mol of formula units


[10]
Entry from the Alexandria database: a relaxed structure of LiTc4Se (PBE).

Cell and atoms, written as POSCAR:
```
LiTc4Se
1.0
0.000 3.657 3.657
3.657 0.000 3.657
3.657 3.657 0.000
Li Tc Se
1 4 1
Direct
0.750 0.750 0.750 Li
0.877 0.374 0.374 Tc
0.374 0.374 0.877 Tc
0.374 0.877 0.374 Tc
0.374 0.374 0.374 Tc
0.000 0.000 0.000 Se
```

Density of states at the Fermi level ... 5.56 states/eV/f.u.
SG ... F-43m
Electronic total energy ... -7.260 eV/atom
Energy relative to the elements, uncorrected ... 319 kJ/mol of formula units


[11]
Entry from the Alexandria database: a relaxed structure of LiSiIr2 (PBE).

Cell and atoms, written as POSCAR:
```
LiSiIr2
1.0
2.749 0.000 0.000
0.000 2.749 0.000
0.000 0.000 7.751
Ir Li Si
2 1 1
Direct
0.000 0.000 0.985 Ir
0.500 0.500 0.239 Ir
0.000 0.000 0.499 Li
0.500 0.500 0.778 Si
```

Density of states at the Fermi level ... 3.71 states/eV/f.u.
SG ... P4mm
Electronic total energy ... -6.358 eV/atom
Energy relative to the elements, uncorrected ... -36 kJ/mol of formula units


[12]
Entry from the Alexandria database: a relaxed structure of BaCa3Pt (PBE).

Cell and atoms, written as POSCAR:
```
BaCa3Pt
1.0
7.268 -0.004 0.000
0.485 7.143 0.000
0.000 0.000 7.226
Ca Ba Pt
6 2 2
Direct
0.819 0.183 0.254 Ca
0.927 0.717 0.319 Ca
0.010 0.894 0.805 Ca
0.427 0.717 0.412 Ca
0.319 0.183 0.477 Ca
0.510 0.894 0.926 Ca
0.762 0.389 0.734 Ba
0.262 0.389 0.997 Ba
0.180 0.972 0.160 Pt
0.680 0.972 0.570 Pt
```

Density of states at the Fermi level ... 1.68 states/eV/f.u.
SG ... Pc
ΔE_f ... -2.2 eV per formula unit
Electronic total energy ... -3.236 eV/atom
Distance to the lowest polymorph of the same formula ... 19 meV per atom